Below is crystalline Cs5KSb2 at its relaxed geometry, with properties calculated at the GGA-PBE level.

Calculated values
Electronic total energy (eV/cell): -32.1
ΔE_f (raw) (kJ/mol of atoms): -29.3
Total magnetic moment (Bohr magnetons per cell): 0.0

Cell lengths 6.8338, 6.8338, 24.0236 Å; angles 90.00, 90.00, 120.00 degrees
Fractional positions:
Cs (0.0000, 0.0000, 0.3816)
Cs (0.0000, 0.0000, 0.1184)
Cs (0.6667, 0.3333, 0.2500)
Cs (0.3333, 0.6667, 0.7500)
Cs (0.3333, 0.6667, 0.5516)
Cs (0.6667, 0.3333, 0.0516)
Cs (0.0000, 0.0000, 0.8816)
Cs (0.6667, 0.3333, 0.4484)
Cs (0.0000, 0.0000, 0.6184)
Cs (0.3333, 0.6667, 0.9484)
Sb (0.3333, 0.6667, 0.3879)
Sb (0.3333, 0.6667, 0.1121)
Sb (0.6667, 0.3333, 0.6121)
Sb (0.6667, 0.3333, 0.8879)
K (0.6667, 0.3333, 0.7500)
K (0.3333, 0.6667, 0.2500)